# RbBeSN2

A relaxed structure of RbBeSN2 (PBE, the Alexandria database). Values from VASP.

## Properties
* uncorrected formation energy: 5.827 eV per formula unit
* E above lowest polymorph: 0.000 eV per atom
* space group: No. 123
* total magnetization: 4.6 μB/cell

```
&SYSTEM
  ibrav = 0, nat = 5, ntyp = 4
/
ATOMIC_SPECIES
Rb 85.47 Rb.upf
Be 9.01 Be.upf
S 32.06 S.upf
N 14.01 N.upf
ATOMIC_POSITIONS crystal
Rb 0.000 0.000 0.000
Be 0.500 0.500 0.500
S 0.500 0.500 0.000
N 0.000 0.500 0.500
N 0.500 0.000 0.500
CELL_PARAMETERS angstrom
4.313 0.000 0.000
0.000 4.313 0.000
0.000 0.000 4.403
```

---

# RbBeSeN2

A relaxed structure of RbBeSeN2 (PBE, the Alexandria database). Values from VASP.

## Properties
* uncorrected formation energy: 6.086 eV per formula unit
* E above lowest polymorph: 0.000 eV per atom
* space group: No. 123
* total magnetization: 4.4 μB/cell

```
&SYSTEM
  ibrav = 0, nat = 5, ntyp = 4
/
ATOMIC_SPECIES
Rb 85.47 Rb.upf
Be 9.01 Be.upf
Se 78.96 Se.upf
N 14.01 N.upf
ATOMIC_POSITIONS crystal
Rb 0.000 0.000 0.000
Be 0.500 0.500 0.500
Se 0.500 0.500 0.000
N 0.000 0.500 0.500
N 0.500 0.000 0.500
CELL_PARAMETERS angstrom
4.363 0.000 0.000
0.000 4.363 0.000
0.000 0.000 4.636
```

---

Question: E above lowest polymorph of number 2 (RbBeSeN2)?
Answer: 0.000 eV per atom

---

What did the second record say?
# RbBeSeN2

A relaxed structure of RbBeSeN2 (PBE, the Alexandria database). Values from VASP.

## Properties
* uncorrected formation energy: 6.086 eV per formula unit
* E above lowest polymorph: 0.000 eV per atom
* space group: No. 123
* total magnetization: 4.4 μB/cell

```
&SYSTEM
  ibrav = 0, nat = 5, ntyp = 4
/
ATOMIC_SPECIES
Rb 85.47 Rb.upf
Be 9.01 Be.upf
Se 78.96 Se.upf
N 14.01 N.upf
ATOMIC_POSITIONS crystal
Rb 0.000 0.000 0.000
Be 0.500 0.500 0.500
Se 0.500 0.500 0.000
N 0.000 0.500 0.500
N 0.500 0.000 0.500
CELL_PARAMETERS angstrom
4.363 0.000 0.000
0.000 4.363 0.000
0.000 0.000 4.636
```

---

Repeat the second record exactly.
# RbBeSeN2

A relaxed structure of RbBeSeN2 (PBE, the Alexandria database). Values from VASP.

## Properties
* uncorrected formation energy: 6.086 eV per formula unit
* E above lowest polymorph: 0.000 eV per atom
* space group: No. 123
* total magnetization: 4.4 μB/cell

```
&SYSTEM
  ibrav = 0, nat = 5, ntyp = 4
/
ATOMIC_SPECIES
Rb 85.47 Rb.upf
Be 9.01 Be.upf
Se 78.96 Se.upf
N 14.01 N.upf
ATOMIC_POSITIONS crystal
Rb 0.000 0.000 0.000
Be 0.500 0.500 0.500
Se 0.500 0.500 0.000
N 0.000 0.500 0.500
N 0.500 0.000 0.500
CELL_PARAMETERS angstrom
4.363 0.000 0.000
0.000 4.363 0.000
0.000 0.000 4.636
```

---

Question: Number 2 is which compound?
Answer: RbBeSeN2